No. 1
Density functional theory data (PBE) for an optimized crystal structure of GaBF3.

Unit cell a=3.872 b=3.872 c=3.872 alpha=90.00 beta=90.00 gamma=90.00
Space group Pm-3m (No. 221)
Asymmetric unit:
Ga (0.000, 0.000, 0.000) (multiplicity 1)
B (0.500, 0.500, 0.500) (multiplicity 1)
F (0.000, 0.500, 0.500) (multiplicity 3)

Results
E above lowest polymorph, eV per atom: 0.000
Size of the total moment, μB per atom: 0.00
ΔE_f (raw), eV per formula unit: -4.81

---

No. 2
Density functional theory data (PBE) for an optimized crystal structure of CdSnPd2Au4.

Unit cell a=3.842 b=3.842 c=11.222 alpha=90.00 beta=90.00 gamma=90.00
Space group P4/mmm (No. 123)
Asymmetric unit:
Cd (0.000, 0.000, 0.000) (multiplicity 1)
Sn (0.000, 0.000, 0.500) (multiplicity 1)
Pd (0.500, 0.500, 0.383) (multiplicity 2)
Au (0.000, 0.500, 0.195) (multiplicity 4)

Results
Size of the total moment, μB per atom: 0.00
Formation energy, eV per formula unit: -0.54

---

No. 3
Density functional theory data (PBE) for an optimized crystal structure of LiBP3.

Unit cell a=4.272 b=4.272 c=4.272 alpha=90.00 beta=90.00 gamma=90.00
Space group Pm-3m (No. 221)
Asymmetric unit:
Li (0.000, 0.000, 0.000) (multiplicity 1)
B (0.500, 0.500, 0.500) (multiplicity 1)
P (0.000, 0.000, 0.500) (multiplicity 3)

Results
E above lowest polymorph, eV per atom: 0.948
Size of the total moment, μB per atom: 0.00
Formation energy, eV per formula unit: 7.94

---

No. 4
Density functional theory data (PBE) for an optimized crystal structure of Tb4Dy6Tm.

Unit cell a=7.489 b=7.489 c=13.215 alpha=90.00 beta=90.00 gamma=90.00
Space group I-42m (No. 121)
Asymmetric unit:
Tb (0.169, 0.169, 0.422) (multiplicity 8)
Dy (0.000, 0.500, 0.000) (multiplicity 4)
Dy (0.233, 0.233, 0.186) (multiplicity 8)
Tm (0.000, 0.000, 0.000) (multiplicity 2)

Results
E above lowest polymorph, eV per atom: 0.308
Size of the total moment, μB per atom: 0.00
Formation energy, eV per formula unit: 4.82

---

No. 5
Density functional theory data (PBE) for an optimized crystal structure of Be2InPb.

Unit cell a=4.480 b=4.480 c=7.661 alpha=90.00 beta=90.00 gamma=90.00
Space group I4/mmm (No. 139)
Asymmetric unit:
Be (0.000, 0.500, 0.250) (multiplicity 4)
In (0.000, 0.000, 0.000) (multiplicity 2)
Pb (0.000, 0.000, 0.500) (multiplicity 2)

Results
E above lowest polymorph, eV per atom: 0.403
Size of the total moment, μB per atom: 0.00
Formation energy, eV per formula unit: 3.00

---

No. 6
Density functional theory data (PBE) for an optimized crystal structure of Mg5Cl.

Unit cell a=11.914 b=3.229 c=8.766 alpha=90.00 beta=120.06 gamma=90.00
Space group Cm (No. 8)
Asymmetric unit:
Mg (0.000, 0.000, 0.000) (multiplicity 2)
Mg (0.020, 0.000, 0.371) (multiplicity 2)
Mg (0.231, 0.500, 0.301) (multiplicity 2)
Mg (0.287, 0.000, 0.037) (multiplicity 2)
Mg (0.414, 0.000, 0.651) (multiplicity 2)
Cl (0.124, 0.500, 0.630) (multiplicity 2)

Results
E above lowest polymorph, eV per atom: 0.000
Size of the total moment, μB per atom: 0.00
ΔE_f (raw), eV per formula unit: -1.45

---

No. 7
Density functional theory data (PBE) for an optimized crystal structure of Ba6P2Cl2O.

Unit cell a=7.751 b=13.371 c=8.042 alpha=90.00 beta=110.14 gamma=90.00
Space group C2/m (No. 12)
Asymmetric unit:
Ba (0.228, 0.000, 0.288) (multiplicity 4)
Ba (0.234, 0.156, 0.721) (multiplicity 8)
P (0.000, 0.332, 0.500) (multiplicity 4)
Cl (0.000, 0.175, 0.000) (multiplicity 4)
O (0.000, 0.000, 0.500) (multiplicity 2)

Results
Size of the total moment, μB per atom: 0.10
ΔE_f (raw), eV per formula unit: -17.50

---

No. 8
Density functional theory data (PBE) for an optimized crystal structure of LaGa3PdRu.

Unit cell a=7.822 b=11.022 c=6.024 alpha=90.00 beta=90.00 gamma=90.00
Space group Cmcm (No. 63)
Asymmetric unit:
La (0.000, 0.242, 0.250) (multiplicity 4)
Ga (0.000, 0.248, 0.750) (multiplicity 4)
Ga (0.247, 0.000, 0.000) (multiplicity 8)
Pd (0.000, 0.465, 0.750) (multiplicity 4)
Ru (0.000, 0.037, 0.750) (multiplicity 4)

Results
Size of the total moment, μB per atom: 0.00
Formation energy, eV per formula unit: -2.61

---

No. 9
Density functional theory data (PBE) for an optimized crystal structure of Mn6Al12W.

Unit cell a=8.188 b=8.188 c=8.188 alpha=90.00 beta=90.00 gamma=90.00
Space group Im-3 (No. 204)
Asymmetric unit:
Mn (0.000, 0.135, 0.500) (multiplicity 12)
Al (0.000, 0.275, 0.180) (multiplicity 24)
W (0.000, 0.000, 0.000) (multiplicity 2)

Results
Size of the total moment, μB per atom: 0.28
Formation energy, eV per formula unit: -1.66

---

No. 10
Density functional theory data (PBE) for an optimized crystal structure of DySbRh.

Unit cell a=4.334 b=4.334 c=7.033 alpha=90.00 beta=90.00 gamma=90.00
Space group P4/nmm (No. 129, origin choice 2)
Asymmetric unit:
Dy (0.250, 0.250, 0.196) (multiplicity 2)
Sb (0.250, 0.250, 0.743) (multiplicity 2)
Rh (0.250, 0.750, 0.500) (multiplicity 2)

Results
Size of the total moment, μB per atom: 0.00
ΔE_f (raw), eV per formula unit: -2.75

---

No. 11
Density functional theory data (PBE) for an optimized crystal structure of Cu2AsH.

Unit cell a=4.556 b=4.556 c=9.848 alpha=90.00 beta=90.00 gamma=90.00
Space group I-42d (No. 122)
Asymmetric unit:
Cu (0.112, 0.250, 0.125) (multiplicity 8)
As (0.000, 0.000, 0.500) (multiplicity 4)
H (0.000, 0.000, 0.000) (multiplicity 4)

Results
E above lowest polymorph, eV per atom: 0.000
Size of the total moment, μB per atom: 0.00

---

No. 12
Density functional theory data (PBE) for an optimized crystal structure of KCa2Te.

Unit cell a=4.201 b=4.201 c=9.441 alpha=90.00 beta=90.00 gamma=90.00
Space group P4mm (No. 99)
Asymmetric unit:
K (0.000, 0.000, 0.000) (multiplicity 1)
Ca (0.000, 0.000, 0.394) (multiplicity 1)
Ca (0.500, 0.500, 0.655) (multiplicity 1)
Te (0.500, 0.500, 0.270) (multiplicity 1)

Results
Size of the total moment, μB per atom: 0.00
ΔE_f (raw), eV per formula unit: -2.54

---

The highest size of the total moment belongs to which entry?
Mn6Al12W